Crystalline Tb6PPt2Se3 at its relaxed geometry. Source: the Alexandria database, functional PBE.

The calculated density comes out at 9.0 g/cm³. Its uncorrected formation energy is -1.548 eV per atom. The calculated volume is 592.3 Å³ per cell. As for the total energy: -6.192 eV/atom.

It has space group C2/m (No. 12), with a = 7.013 Å, b = 12.186 Å, c = 7.321 Å, α = 90.00°, β = 108.79° and γ = 90.00°. The inequivalent atoms are Tb at (0.243, 0.166, 0.231), Tb at (0.245, 0.500, 0.234), P at (0.000, 0.000, 0.000), Pt at (0.000, 0.333, 0.000), Se at (0.000, 0.164, 0.500) and Se at (0.000, 0.500, 0.500).

Crystalline Ti12Ir3Rh5 at its relaxed geometry. Source: the Alexandria database, functional PBE.

The calculated density comes out at 7.1 g/cm³. Its energy relative to the elements is -29 meV/atom. The calculated volume is 3133.5 Å³ per cell. As for the total energy: -7.933 eV/atom.

It has space group Ia-3d (No. 230), with a = 14.633 Å, b = 14.633 Å, c = 14.633 Å, α = 90.00°, β = 90.00° and γ = 90.00°. The inequivalent atoms are Ti at (0.015, 0.071, 0.653), Ir at (0.000, 0.250, 0.125), Rh at (0.000, 0.000, 0.000) and Rh at (0.000, 0.250, 0.375).

Crystalline LiMgSn2Te4 at its relaxed geometry. Source: the Alexandria database, functional PBE.

The calculated density comes out at 5.6 g/cm³. Its uncorrected formation energy is -0.516 eV per atom. The calculated volume is 230.7 Å³ per cell. As for the total energy: -3.526 eV/atom.

It has space group P2/m (No. 10), with a = 7.499 Å, b = 4.312 Å, c = 7.557 Å, α = 90.00°, β = 109.22° and γ = 90.00°. The inequivalent atoms are Li at (0.000, 0.000, 0.000), Mg at (0.500, 0.500, 0.000), Sn at (0.000, 0.500, 0.500), Sn at (0.500, 0.000, 0.500), Te at (0.247, 0.500, 0.234) and Te at (0.258, 0.000, 0.768).

Crystalline SrHfGa2 at its relaxed geometry. Source: the Alexandria database, functional PBE.

The calculated density comes out at 7.4 g/cm³. The excess energy over the best structure of this formula in the dataset comes out at 204.6 meV/atom. Its energy relative to the elements is -83 meV/atom. The calculated volume is 363.9 Å³ per cell. As for the total energy: -4.505 eV/atom.

It has space group Fm-3m (No. 225), with a = 7.140 Å, b = 7.140 Å, c = 7.140 Å, α = 90.00°, β = 90.00° and γ = 90.00°. The inequivalent atoms are Sr at (0.000, 0.000, 0.000), Hf at (0.000, 0.000, 0.500) and Ga at (0.250, 0.250, 0.250).

Crystalline TbErTe2 at its relaxed geometry. Source: the Alexandria database, functional PBE.

The calculated density comes out at 8.3 g/cm³. The excess energy over the best structure of this formula in the dataset comes out at 32.7 meV/atom. Its uncorrected formation energy is -1.261 eV per atom. The calculated volume is 347.8 Å³ per cell. As for the total energy: -5.130 eV/atom.

It has space group R-3m (No. 166, hexagonal axes), with a = 4.3463 Å, b = 4.3463 Å, c = 21.2589 Å, α = 90.00°, β = 90.00° and γ = 120.00°. The inequivalent atoms are Tb at (0.0000, 0.0000, 0.0000), Er at (0.0000, 0.0000, 0.5000) and Te at (0.0000, 0.0000, 0.2484).

Crystalline Na4Tb3NpTe8 at its relaxed geometry. Source: the Alexandria database, functional PBE.

The calculated density comes out at 5.8 g/cm³. Its uncorrected formation energy is -1.187 eV per atom. The calculated volume is 1560.4 Å³ per cell. As for the total energy: -4.764 eV/atom.

It has space group R-3m (No. 166, hexagonal axes), with a = 8.9240 Å, b = 8.9240 Å, c = 22.6254 Å, α = 90.00°, β = 90.00° and γ = 120.00°. The inequivalent atoms are Na at (0.0000, 0.0000, 0.0000), Na at (0.0000, 0.5000, 0.0000), Tb at (0.0000, 0.5000, 0.5000), Np at (0.0000, 0.0000, 0.5000), Te at (0.0000, 0.0000, 0.2444) and Te at (0.0033, 0.5016, 0.7555).

Crystalline Ti12In3Pt at its relaxed geometry. Source: the Alexandria database, functional PBE.

The calculated density comes out at 6.6 g/cm³. Its energy relative to the elements is -206 meV/atom. The calculated volume is 281.0 Å³ per cell. As for the total energy: -7.019 eV/atom.

It has space group P4/mmm (No. 123), with a = 4.132 Å, b = 4.132 Å, c = 16.458 Å, α = 90.00°, β = 90.00° and γ = 90.00°. The inequivalent atoms are Ti at (0.000, 0.000, 0.000), Ti at (0.000, 0.000, 0.242), Ti at (0.000, 0.000, 0.500), Ti at (0.000, 0.500, 0.116), Ti at (0.000, 0.500, 0.373), In at (0.500, 0.500, 0.244), In at (0.500, 0.500, 0.500) and Pt at (0.500, 0.500, 0.000).

Crystalline MgMn2As at its relaxed geometry. Source: the Alexandria database, functional PBE.

The calculated density comes out at 6.6 g/cm³. Its energy relative to the elements is 250 meV/atom. The calculated volume is 211.0 Å³ per cell. As for the total energy: -5.895 eV/atom.

It has space group Fm-3m (No. 225), with a = 5.953 Å, b = 5.953 Å, c = 5.953 Å, α = 90.00°, β = 90.00° and γ = 90.00°. The inequivalent atoms are Mg at (0.000, 0.000, 0.000), Mn at (0.250, 0.250, 0.250) and As at (0.000, 0.000, 0.500).